Record 1
A plane-wave DFT calculation with PBE was carried out for a relaxed structure of KBeO3.

```
5
Lattice="-2.508 0.523 -2.658 2.370 -1.332 -2.498 -1.313 -3.404 0.569" Properties=species:S:1:pos:R:3 pbc="T T T"
K -0.725 -2.106 -2.294
Be 0.000 0.000 0.000
O -0.656 -1.702 0.285
O -1.254 0.261 -1.329
O 1.185 -0.666 -1.249
```

Results
Total moment = 3.0 μB per formula unit
DOS(E_F) = 0.27 states/eV/atom
Uncorrected formation energy = -3.85 eV/f.u.
Symmetry = No. 221

=====

Record 2
A plane-wave DFT calculation with PBE was carried out for a relaxed structure of K2BeO.

```
4
Lattice="0.000 3.570 3.570 3.570 0.000 3.570 3.570 3.570 0.000" Properties=species:S:1:pos:R:3 pbc="T T T"
O 3.570 3.570 3.570
K 1.785 1.785 1.785
K 5.355 5.355 5.355
Be 0.000 0.000 0.000
```

Results
Total moment = 0.0 μB per formula unit
Relative energy among the computed polymorphs = 1168 meV/atom
DOS(E_F) = 0.00 states/eV/atom
Uncorrected formation energy = 0.99 eV/f.u.
Symmetry = No. 225

=====

Record 3
A plane-wave DFT calculation with PBE was carried out for a relaxed structure of K2BeO.

```
8
Lattice="5.615 -0.029 0.034 -2.351 7.029 -0.154 -1.702 -2.167 6.919" Properties=species:S:1:pos:R:3 pbc="T T T"
O -0.962 0.648 4.826
O 3.338 0.714 0.151
K 2.801 4.188 2.435
K 1.726 0.218 5.011
K -0.839 3.115 5.866
K -1.051 -1.017 6.891
Be 3.608 0.656 1.535
Be -1.232 0.703 3.442
```

Results
Total moment = 0.0 μB per formula unit
Relative energy among the computed polymorphs = 10 meV/atom
DOS(E_F) = 0.26 states/eV/atom
Uncorrected formation energy = -3.65 eV/f.u.
Symmetry = No. 1

=====

Record 4
A plane-wave DFT calculation with PBE was carried out for a relaxed structure of KBeO3.

```
5
Lattice="-4.037 -1.348 1.641 -1.096 -1.698 -4.090 1.820 -4.014 1.179" Properties=species:S:1:pos:R:3 pbc="T T T"
O -2.567 -1.523 -1.224
O -1.109 -2.681 1.410
O 0.362 -2.856 -1.456
K -1.657 -3.530 -0.635
Be 0.000 0.000 0.000
```

Results
Total moment = 3.0 μB per formula unit
DOS(E_F) = 1.55 states/eV/atom
Uncorrected formation energy = 6.88 eV/f.u.
Symmetry = No. 221

=====

Record 5
A plane-wave DFT calculation with PBE was carried out for a relaxed structure of K3BeO3.

```
14
Lattice="-0.193 5.308 -1.276 -1.034 -1.788 -7.282 -5.972 0.880 4.566" Properties=species:S:1:pos:R:3 pbc="T T T"
K -2.538 1.169 -0.597
K -1.124 3.407 -3.196
K -6.076 0.993 -0.796
K -4.510 1.791 2.286
K -4.662 3.230 -3.394
K -2.690 2.609 -6.278
Be -2.729 0.428 -3.651
Be -4.471 3.971 -0.340
O -5.813 3.745 -1.078
O -4.066 0.564 -2.884
O -2.732 0.066 -5.157
O -1.387 0.655 -2.913
O -4.467 4.333 1.165
O -3.133 3.836 -1.107
```

Results
Total moment = 1.0 μB per formula unit
DOS(E_F) = 0.10 states/eV/atom
Uncorrected formation energy = -10.74 eV/f.u.
Symmetry = No. 176

=====

Record 6
A plane-wave DFT calculation with PBE was carried out for a relaxed structure of K2BeO.

```
8
Lattice="-6.226 8.963 -6.949 -4.954 -9.281 -7.532 -6.798 -0.273 -6.305" Properties=species:S:1:pos:R:3 pbc="T T T"
O 0.000 0.000 0.000
O -9.307 4.266 -10.248
Be -5.590 -0.159 -7.241
Be -8.671 -4.856 -10.539
K -10.735 2.682 -12.913
K -7.275 5.907 -8.050
K -8.444 1.264 -8.871
K -10.775 7.211 -11.156
```

Results
Total moment = 0.0 μB per formula unit
Relative energy among the computed polymorphs = 206 meV/atom
DOS(E_F) = 0.49 states/eV/atom
Uncorrected formation energy = -2.86 eV/f.u.
Symmetry = No. 122

=====

Record 7
A plane-wave DFT calculation with PBE was carried out for a relaxed structure of KBeO.

```
12
Lattice="8.332 0.000 0.790 0.000 5.347 0.000 -3.986 0.000 6.630" Properties=species:S:1:pos:R:3 pbc="T T T"
O -0.997 1.337 1.657
O -2.990 1.337 4.972
O -0.997 4.010 1.657
O -2.990 4.010 4.972
K 1.462 2.673 0.879
K 4.877 0.000 3.226
K -0.531 0.000 4.194
K 2.884 2.673 6.540
Be 4.985 0.000 6.356
Be 6.978 2.673 3.041
Be -0.639 0.000 1.064
Be -2.632 2.673 4.378
```

Results
Total moment = 0.0 μB per formula unit
Relative energy among the computed polymorphs = 0 meV/atom
DOS(E_F) = 0.34 states/eV/atom
Uncorrected formation energy = -4.41 eV/f.u.
Symmetry = No. 12

=====

Record 8
A plane-wave DFT calculation with PBE was carried out for a relaxed structure of KBeO.

```
12
Lattice="4.320 0.000 -0.001 0.000 5.382 0.000 -4.283 0.000 9.949" Properties=species:S:1:pos:R:3 pbc="T T T"
Be 1.154 2.691 0.000
Be -0.987 0.000 4.974
Be -1.116 2.691 9.948
Be 1.025 0.000 4.973
K 0.004 2.691 2.948
K 2.175 0.000 2.025
K 0.034 2.691 7.000
K -2.138 0.000 7.923
O 0.018 0.000 3.753
O -2.123 2.691 8.727
O 0.020 0.000 6.195
O 2.161 2.691 1.221
```

Results
Total moment = 0.0 μB per formula unit
Relative energy among the computed polymorphs = 0 meV/atom
Uncorrected formation energy = -4.41 eV/f.u.
Symmetry = No. 12

=====

Record 9
A plane-wave DFT calculation with PBE was carried out for a relaxed structure of K3Be2O4.

```
9
Lattice="3.053 0.000 0.000 -1.527 7.171 -2.415 0.000 -1.721 7.001" Properties=species:S:1:pos:R:3 pbc="T T T"
Be 1.527 2.232 1.584
Be 0.000 3.219 3.002
O 1.527 3.758 2.355
O 0.000 3.246 4.601
O 0.000 1.693 2.231
O 1.527 2.204 -0.015
K 1.527 1.052 4.418
K 0.000 0.000 0.000
K 0.000 4.399 0.168
```

Results
Total moment = 1.0 μB per formula unit
DOS(E_F) = 0.20 states/eV/atom
Uncorrected formation energy = -15.49 eV/f.u.
Symmetry = No. 12

=====

Record 10
A plane-wave DFT calculation with PBE was carried out for a relaxed structure of KBe3O.

```
5
Lattice="4.181 0.000 0.000 0.000 4.181 0.000 0.000 0.000 4.181" Properties=species:S:1:pos:R:3 pbc="T T T"
O 0.000 0.000 0.000
K 2.090 2.090 2.090
Be 0.000 2.090 0.000
Be 0.000 0.000 2.090
Be 2.090 0.000 0.000
```

Results
Total moment = 0.7 μB per formula unit
Relative energy among the computed polymorphs = 0 meV/atom
DOS(E_F) = 0.76 states/eV/atom
Uncorrected formation energy = 4.26 eV/f.u.
Symmetry = No. 221

=====

Record 11
A plane-wave DFT calculation with PBE was carried out for a relaxed structure of K2BeO.

```
8
Lattice="5.870 0.001 -0.001 2.917 6.553 0.069 2.931 2.305 6.603" Properties=species:S:1:pos:R:3 pbc="T T T"
O 5.862 4.334 1.084
O 5.857 4.525 5.588
Be 5.859 3.278 6.260
Be 5.859 5.581 0.411
K 5.854 6.188 3.515
K 8.793 4.623 5.857
K 5.865 2.671 3.157
K 2.926 4.236 0.814
```

Results
Total moment = 0.0 μB per formula unit
Relative energy among the computed polymorphs = 0 meV/atom
DOS(E_F) = 0.24 states/eV/atom
Uncorrected formation energy = -3.69 eV/f.u.
Symmetry = No. 2

=====

Record 12
A plane-wave DFT calculation with PBE was carried out for a relaxed structure of K2Be2O3.

```
7
Lattice="0.137 -2.521 1.310 3.010 -3.407 -3.786 10.741 -3.898 -5.543" Properties=species:S:1:pos:R:3 pbc="T T T"
Be 3.659 -3.463 -0.874
Be 10.230 -6.363 -7.145
O 6.876 -3.653 -4.665
O 10.471 -7.268 -5.826
O 3.417 -2.558 -2.194
K 9.218 -5.060 -4.531
K 4.670 -4.767 -3.489
```

Results
Total moment = 0.0 μB per formula unit
Relative energy among the computed polymorphs = 81 meV/atom
DOS(E_F) = 0.00 states/eV/atom
Uncorrected formation energy = -14.10 eV/f.u.
Symmetry = No. 12